First-principles (GGA-PBE) data for a relaxed La12Tc3O5 crystal, as listed in Alexandria via LeMat-Bulk.

Lattice parameters (Å, degrees): 13.834 13.834 13.834 109.47 109.47 109.47
Element x y z (fractional)
La1 0.026 0.208 0.121
La2 0.026 0.318 0.904
La3 0.086 0.708 0.682
La4 0.086 0.879 0.404
La5 0.096 0.621 0.414
La6 0.096 0.974 0.682
La7 0.121 0.026 0.208
La8 0.121 0.596 0.914
La9 0.182 0.208 0.586
La10 0.182 0.474 0.596
La11 0.208 0.121 0.026
La12 0.208 0.586 0.182
La13 0.292 0.318 0.914
La14 0.292 0.474 0.379
La15 0.318 0.904 0.026
La16 0.318 0.914 0.292
La17 0.379 0.292 0.474
La18 0.379 0.586 0.904
La19 0.404 0.086 0.879
La20 0.404 0.818 0.526
La21 0.414 0.096 0.621
La22 0.414 0.818 0.792
La23 0.474 0.379 0.292
La24 0.474 0.596 0.182
La25 0.526 0.404 0.818
La26 0.526 0.621 0.708
La27 0.586 0.182 0.208
La28 0.586 0.904 0.379
La29 0.596 0.182 0.474
La30 0.596 0.914 0.121
La31 0.621 0.414 0.096
La32 0.621 0.708 0.526
La33 0.682 0.086 0.708
La34 0.682 0.096 0.974
La35 0.708 0.526 0.621
La36 0.708 0.682 0.086
La37 0.792 0.414 0.818
La38 0.792 0.879 0.974
La39 0.818 0.526 0.404
La40 0.818 0.792 0.414
La41 0.879 0.404 0.086
La42 0.879 0.974 0.792
La43 0.904 0.026 0.318
La44 0.904 0.379 0.586
La45 0.914 0.121 0.596
La46 0.914 0.292 0.318
La47 0.974 0.682 0.096
La48 0.974 0.792 0.879
Tc1 0.125 0.250 0.375
Tc2 0.125 0.375 0.750
Tc3 0.250 0.375 0.125
Tc4 0.250 0.875 0.625
Tc5 0.375 0.125 0.250
Tc6 0.375 0.750 0.125
Tc7 0.625 0.250 0.875
Tc8 0.625 0.875 0.750
Tc9 0.750 0.125 0.375
Tc10 0.750 0.625 0.875
Tc11 0.875 0.625 0.250
Tc12 0.875 0.750 0.625
O1 0.000 0.000 0.000
O2 0.000 0.000 0.500
O3 0.000 0.500 0.000
O4 0.000 0.500 0.500
O5 0.125 0.750 0.875
O6 0.125 0.875 0.250
O7 0.250 0.125 0.875
O8 0.250 0.625 0.375
O9 0.375 0.250 0.625
O10 0.375 0.625 0.750
O11 0.500 0.000 0.000
O12 0.500 0.000 0.500
O13 0.500 0.500 0.000
O14 0.500 0.500 0.500
O15 0.625 0.375 0.250
O16 0.625 0.750 0.375
O17 0.750 0.375 0.625
O18 0.750 0.875 0.125
O19 0.875 0.125 0.750
O20 0.875 0.250 0.125

Results
calculated density	6.7	g cm⁻³
spin magnetization	0.0000	μB/atom
electronic total energy	-7.07	eV/atom
formation energy from raw total energies	-30.34	kcal/mol of atoms